# P2H5Pd12

A geometry-optimized P2H5Pd12 structure (PBE, the Alexandria database).

- E (eV/atom) = -4.883

Unit cell a=11.430 b=5.748 c=7.413 alpha=90.00 beta=107.30 gamma=90.00
Space group C2/m (No. 12)
Inequivalent atoms, fractional coordinates:
P 0.000 0.244 0.000 [4 per cell]
H 0.000 0.500 0.500 [2 per cell]
H 0.183 0.000 0.636 [4 per cell]
H 0.213 0.500 0.645 [4 per cell]
Pd 0.064 0.000 0.792 [4 per cell]
Pd 0.065 0.500 0.801 [4 per cell]
Pd 0.123 0.255 0.490 [8 per cell]
Pd 0.201 0.249 0.158 [8 per cell]

# PH2Pd

A geometry-optimized PH2Pd structure (PBE, the Alexandria database).

- E (eV/atom) = -3.613

Unit cell a=5.302 b=5.302 c=5.302 alpha=90.00 beta=90.00 gamma=90.00
Space group Fm-3m (No. 225)
Inequivalent atoms, fractional coordinates:
P 0.000 0.000 0.000 [4 per cell]
H 0.250 0.250 0.250 [8 per cell]
Pd 0.000 0.000 0.500 [4 per cell]

Q: E of number 2 (PH2Pd)?
A: -3.613 eV/atom